(1)
Ge2IrS: relaxed, PBE.

Cell: 3.5855 6.6818 6.0984 Å, 90.00 90.00 90.00°
With the nearest neighbours (Å) after each atom.
Fractional positions:
Ge: 0.0000 0.1480 0.0000  1 S 2.38, 4 Ir 2.51-2.60
Ge: 0.0000 0.8520 0.5000  1 S 2.38, 4 Ir 2.51-2.60
Ge: 0.5000 0.2976 0.4920  2 S 2.37, 2 Ir 2.50-2.51
Ge: 0.5000 0.7024 0.9920  2 S 2.37, 2 Ir 2.50-2.51
Ir: 0.5000 0.0026 0.2390  6 Ge 2.50-2.60
Ir: 0.5000 0.9974 0.7390  6 Ge 2.50-2.60
S: 0.0000 0.4894 0.8901  3 Ge 2.37-2.38
S: 0.0000 0.5106 0.3901  3 Ge 2.37-2.38

As for the total energy: -5.664 eV/atom. The value obtained for the density is 8.4 g cm⁻³. The space group is Pmc2_1.



(2)
Ge2Ir2S: relaxed, PBE.

Cell: 5.3007 5.3007 5.3007 Å, 128.79 128.79 75.35°
With the nearest neighbours (Å) after each atom.
Fractional positions:
Ge: 0.1703 0.1703 0.0000  4 Ir 2.70, 1 S 2.77, 1 Ge 2.86
Ge: 0.8297 0.8297 0.0000  4 Ir 2.70, 1 S 2.77, 1 Ge 2.86
Ir: 0.0000 0.5000 0.5000  2 S 2.29
Ir: 0.5000 0.0000 0.5000  2 S 2.29
S: 0.5000 0.5000 0.0000  4 Ir 2.29

As for the total energy: -5.778 eV/atom. The value obtained for the density is 10.6 g cm⁻³. The space group is I4/mmm.